Entry 1:
First-principles (PBE) data for a relaxed structure of Sr4OsN4, as listed in the Alexandria database.

Results
Total energy   -5.905 eV/atom

Lattice parameters (Å, degrees): 7.096 7.096 6.634 90.00 90.00 90.00
Space group P4_2/nmc (No. 137, origin choice 2)
Asymmetric unit:
1 Sr 0.027 0.250 0.116 [8 per cell]
2 Os 0.250 0.750 0.250 [2 per cell]
3 N 0.051 0.750 0.463 [8 per cell]

***

Entry 2:
First-principles (PBE) data for a relaxed structure of Na2HfCo2, as listed in the Alexandria database.

Results
Energy above the lowest structure with this stoichiometry   0 meV per atom
Formation energy   83.0 kJ per mole of atoms

Lattice parameters (Å, degrees): 7.984 7.984 2.728 90.00 90.00 90.00
Space group P4/mbm (No. 127)
Asymmetric unit:
1 Na 0.110 0.390 0.000 [4 per cell]
2 Hf 0.000 0.000 0.000 [2 per cell]
3 Co 0.195 0.695 0.500 [4 per cell]